1.
# AlCdOs2 GGA-PBE optimized geometry
# Formation energy from the elements in eV/atom: 0.485
# Energy above the lowest structure with this stoichiometry in meV per atom: 386
data_AlCdOs2
_chemical_formula_sum 'Al1 Cd1 Os2'
_space_group_name_H-M_alt 'P 1'
_space_group_IT_number 1
_space_group_name_Hall 'P 1'
_cell_length_a 3.922
_cell_length_b 3.988
_cell_length_c 3.988
_cell_angle_alpha 90.00
_cell_angle_beta 90.00
_cell_angle_gamma 90.00
loop_
_atom_site_label
_atom_site_type_symbol
_atom_site_fract_x
_atom_site_fract_y
_atom_site_fract_z
Al1 Al 0.500 0.500 0.000
Os1 Os 0.000 0.000 0.000
Cd1 Cd 0.500 0.000 0.500
Os2 Os 0.000 0.500 0.500

2.
# RuC GGA-PBE optimized geometry
# Formation energy from the elements in eV/atom: 0.639
# Energy above the lowest structure with this stoichiometry in meV per atom: 274
data_RuC
_chemical_formula_sum 'Ru8 C8'
_space_group_name_H-M_alt 'P 1'
_space_group_IT_number 1
_space_group_name_Hall 'P 1'
_cell_length_a 5.481
_cell_length_b 5.701
_cell_length_c 5.632
_cell_angle_alpha 90.00
_cell_angle_beta 90.00
_cell_angle_gamma 90.00
loop_
_atom_site_label
_atom_site_type_symbol
_atom_site_fract_x
_atom_site_fract_y
_atom_site_fract_z
Ru1 Ru 0.824 0.083 0.917
C1 C 0.005 0.907 0.623
C2 C 0.407 0.674 0.863
C3 C 0.907 0.826 0.137
Ru2 Ru 0.324 0.417 0.083
C4 C 0.505 0.593 0.377
Ru3 Ru 0.327 0.999 0.801
Ru4 Ru 0.827 0.501 0.199
C5 C 0.093 0.326 0.363
C6 C 0.495 0.093 0.123
Ru5 Ru 0.673 0.499 0.699
C7 C 0.995 0.407 0.877
Ru6 Ru 0.176 0.583 0.583
Ru7 Ru 0.676 0.917 0.417
C8 C 0.593 0.174 0.637
Ru8 Ru 0.173 0.001 0.301